TbNd10Tm6 after structural relaxation. Source: Alexandria via LeMat-Bulk, functional GGA-PBE.

Output
Its raw total energy is -76.939 eV/cell. For the energy of formation, the calculation gives 0.1293 eV per atom.

Cell lengths 6.8892, 9.8125, 9.8125 Å; angles 120.00, 90.00, 90.00 degrees
Fractional coordinates of all 17 atoms:
Nd: 0.1814 0.7232 0.0000
Nd: 0.8186 0.2768 0.0000
Nd: 0.8186 0.7232 0.7232
Tm: 0.3150 0.3674 0.0000
Tm: 0.6850 0.6326 0.0000
Tb: 0.5000 0.0000 0.0000
Nd: 0.5000 0.6667 0.3333
Tm: 0.6850 0.0000 0.6326
Nd: 0.5000 0.3333 0.6667
Tm: 0.6850 0.3674 0.3674
Nd: 0.0000 0.3333 0.6667
Nd: 0.0000 0.6667 0.3333
Nd: 0.1814 0.2768 0.2768
Nd: 0.8186 0.0000 0.2768
Tm: 0.3150 0.0000 0.3674
Tm: 0.3150 0.6326 0.6326
Nd: 0.1814 0.0000 0.7232

Ti2NbTl after structural relaxation. Source: Alexandria via LeMat-Bulk, functional GGA-PBE.

Output
Its raw total energy is -28.367 eV/cell. The value obtained for the offset from the most stable computed form is 0.000 eV per atom. For the energy of formation, the calculation gives -0.0354 eV per atom.

Cell lengths 3.3972, 3.3972, 6.5030 Å; angles 90.00, 90.00, 90.00 degrees
Fractional coordinates of all 4 atoms:
Ti: 0.0000 0.0000 0.2234
Tl: 0.5000 0.5000 0.5000
Ti: 0.0000 0.0000 0.7766
Nb: 0.5000 0.5000 0.0000

TeRh3Se after structural relaxation. Source: Alexandria via LeMat-Bulk, functional GGA-PBE.

Output
Its raw total energy is -24.068 eV/cell. The value obtained for the offset from the most stable computed form is 0.522 eV per atom. For the uncorrected formation energy, the calculation gives 0.92 eV/atom.

Cell lengths 4.8416, 4.8416, 4.8416 Å; angles 90.00, 90.00, 90.00 degrees
Fractional coordinates of all 5 atoms:
Se: 0.5000 0.5000 0.5000
Rh: 0.0000 0.5000 0.0000
Rh: 0.0000 0.0000 0.5000
Te: 0.0000 0.0000 0.0000
Rh: 0.5000 0.0000 0.0000

PuIn2Hg3 after structural relaxation. Source: Alexandria via LeMat-Bulk, functional GGA-PBE.

Output
Its raw total energy is -41.679 eV/cell. For the energy of formation, the calculation gives -0.0209 eV per atom.

Cell lengths 5.9137, 8.8965, 8.8965 Å; angles 137.15, 90.00, 90.00 degrees
Site moments in Bohr magnetons follow the coordinates.
Fractional coordinates of all 12 atoms:
Pu: 0.2500 0.3384 0.6616  5.56
In: 0.5000 0.7443 0.7443  0.00
Hg: 0.7500 0.0819 0.4192  0.01
In: 0.0000 0.2557 0.2557  0.00
Hg: 0.7500 0.5808 0.9181  0.01
Hg: 0.2500 0.4192 0.0819  0.01
In: 0.0000 0.7443 0.7443  0.00
Hg: 0.7500 0.1540 0.8460  0.02
Hg: 0.2500 0.8460 0.1540  0.02
Hg: 0.2500 0.9181 0.5808  0.01
Pu: 0.7500 0.6616 0.3384  5.56
In: 0.5000 0.2557 0.2557  0.00

Na2LiSnS4 after structural relaxation. Source: Alexandria via LeMat-Bulk, functional GGA-PBE.

Output
Its raw total energy is -30.776 eV/cell. For the uncorrected formation energy, the calculation gives -0.71 eV/atom.

Cell lengths 6.7067, 6.0702, 6.0702 Å; angles 72.23, 56.47, 56.47 degrees
Site moments in Bohr magnetons follow the coordinates.
Fractional coordinates of all 8 atoms:
S: 0.4543 0.6313 0.0000  0.06
Na: 0.5000 0.5000 0.5000  0.00
S: 0.9143 0.0000 0.6313  0.06
Sn: 0.5000 0.0000 0.0000  0.00
S: 0.5457 0.0000 0.3687  0.06
S: 0.0857 0.3687 0.0000  0.06
Li: 0.0000 0.0000 0.0000  0.00
Na: 0.0000 0.5000 0.5000  0.00

Ce4Hg2O after structural relaxation. Source: Alexandria via LeMat-Bulk, functional GGA-PBE.

Output
Its raw total energy is -34.097 eV/cell. The value obtained for the offset from the most stable computed form is 0.194 eV per atom. For the uncorrected formation energy, the calculation gives -0.69 eV/atom.

Cell lengths 3.6328, 4.6798, 11.9354 Å; angles 101.31, 90.00, 90.00 degrees
Site moments in Bohr magnetons follow the coordinates.
Fractional coordinates of all 7 atoms:
Ce: 0.5000 0.5646 0.1291  1.15
Hg: 0.5000 0.8407 0.6813  0.01
Ce: 0.0000 0.2893 0.5785  0.75
Hg: 0.5000 0.1593 0.3187  0.01
O: 0.0000 0.5000 0.0000  -0.04
Ce: 0.5000 0.4354 0.8709  1.15
Ce: 0.0000 0.7107 0.4215  0.75

MnAsP2 after structural relaxation. Source: Alexandria via LeMat-Bulk, functional GGA-PBE.

Output
Its raw total energy is -48.499 eV/cell. For the energy of formation, the calculation gives 0.0974 eV per atom.

Cell lengths 5.3557, 5.3557, 6.4154 Å; angles 65.33, 65.33, 90.00 degrees
Fractional coordinates of all 8 atoms:
As: 0.0000 0.0000 0.0000
Mn: 0.2500 0.7500 0.5000
Mn: 0.5000 0.5000 0.0000
P: 0.5838 0.1250 0.2500
P: 0.1662 0.6250 0.2500
As: 0.7500 0.2500 0.5000
P: 0.3750 0.4162 0.7500
P: 0.8750 0.8338 0.7500

Hf4Ti2Sb after structural relaxation. Source: Alexandria via LeMat-Bulk, functional GGA-PBE.

Output
Its raw total energy is -52.692 eV/cell. For the uncorrected formation energy, the calculation gives 1.00 eV/atom.

Cell lengths 5.2459, 5.2459, 7.6028 Å; angles 69.82, 69.82, 90.00 degrees
Site moments in Bohr magnetons follow the coordinates.
Fractional coordinates of all 7 atoms:
Ti: 0.4054 0.4054 0.1892  0.30
Hf: 0.5000 0.0000 0.0000  0.12
Sb: 0.0000 0.0000 0.0000  -0.01
Hf: 0.7934 0.7934 0.4132  0.03
Hf: 0.0000 0.5000 0.0000  0.12
Ti: 0.5946 0.5946 0.8108  0.30
Hf: 0.2066 0.2066 0.5868  0.03